The following is a PBE-GGA calculation of an optimized crystal structure of LaAgW, from the Open Quantum Materials Database.

Lattice parameters (Å, degrees): 4.8822 4.8822 4.8822 60.00 60.00 60.00
Sites, in units of the cell vectors:
Ag (0.2500, 0.2500, 0.2500)
La (0.0000, 0.0000, 0.0000)
W (0.7500, 0.7500, 0.7500)

Calculated values
Volume = 27.4 Å³/atom
Relative energy among the computed polymorphs = 420.8 meV per atom
Energy relative to the elements = 1.5601 eV/atom

---

The following is a PBE-GGA calculation of an optimized crystal structure of LaY4Ag5, from the Open Quantum Materials Database.

Lattice parameters (Å, degrees): 3.6316 3.6316 18.6369 90.00 90.00 90.00
Each line ends with the local moment (μB).
Sites, in units of the cell vectors:
Ag (0.5000, 0.5000, 0.1130)  0.00
Ag (0.5000, 0.5000, 0.3041)  0.00
Ag (0.5000, 0.5000, 0.5000)  0.00
Ag (0.5000, 0.5000, 0.6959)  0.00
Ag (0.5000, 0.5000, 0.8870)  0.00
La (0.0000, 0.0000, 0.0000)  0.08
Y (0.0000, 0.0000, 0.2063)  0.00
Y (0.0000, 0.0000, 0.4020)  0.00
Y (0.0000, 0.0000, 0.5980)  0.00
Y (0.0000, 0.0000, 0.7937)  0.00

Calculated values
Volume = 24.6 Å³/atom
Energy relative to the elements = -0.3256 eV/atom